Th4Ge2IrS (PBE, relaxed); D(E_F) = 6.06 states/eV/cell; formation energy (no corrections) = -24.3 kcal/mol of atoms
1.0
4.2083 0.0000 0.0000
0.0000 7.3265 -0.0976
0.0000 2.6229 6.8567
Ir Th Ge S
1 4 2 1
Cartesian
2.1042 3.6633 -0.0488 Ir
2.1042 6.1128 1.6386 Th
2.1042 3.8366 5.1205 Th
4.2083 2.5551 1.5918 Th
0.0001 7.3943 5.1673 Th
0.0000 2.6229 6.8567 Ge
2.1042 1.3114 3.4284 Ge
0.0000 4.9747 3.3796 S